# 1
{"formula": "Ca6TlHg", "functional": "GGA-PBE", "state": "optimized geometry", "cell": [[-1.672, 2.626, -4.537], [-4.797, -2.686, 0.213], [-6.806, 6.765, 3.088]], "species": ["Ca", "Ca", "Ca", "Ca", "Ca", "Ca", "Tl", "Hg"], "fractional_positions": [[0.251, 0.251, 0.498], [0.902, 0.402, 0.196], [0.749, 0.749, 0.502], [0.598, 0.098, 0.804], [0.402, 0.902, 0.196], [0.098, 0.598, 0.804], [0.500, 0.500, 0.000], [0.000, 0.000, 0.000]], "spacegroup": "No. 139", "polymorph_energy_ev_per_atom": 0.000, "vol_a3_per_cell": 282, "total_energy_ev_per_atom": -2.096, "formation_energy_ev_per_atom": -0.261}

=====

# 2
{"formula": "CaTl2Hg", "functional": "GGA-PBE", "state": "optimized geometry", "cell": [[-4.979, 1.493, 1.460], [-4.005, -3.621, 0.027], [-2.065, -1.707, 4.688]], "species": ["Ca", "Tl", "Tl", "Hg"], "fractional_positions": [[0.500, 0.500, 0.500], [0.000, 0.000, 0.000], [0.250, 0.250, 0.250], [0.750, 0.750, 0.750]], "spacegroup": "No. 216", "vol_a3_per_cell": 111, "total_energy_ev_per_atom": -2.015, "formation_energy_ev_per_atom": -0.256}

=====

# 3
{"formula": "Ca2Tl3Hg6", "functional": "GGA-PBE", "state": "optimized geometry", "cell": [[4.304, 0.000, 0.000], [0.000, 4.304, 0.000], [-2.152, -2.152, 17.644]], "species": ["Hg", "Hg", "Hg", "Hg", "Hg", "Hg", "Tl", "Tl", "Tl", "Ca", "Ca"], "fractional_positions": [[0.071, 0.571, 0.142], [0.728, 0.728, 0.456], [0.929, 0.429, 0.858], [0.571, 0.071, 0.142], [0.429, 0.929, 0.858], [0.272, 0.272, 0.544], [0.000, 0.000, 0.000], [0.818, 0.818, 0.636], [0.182, 0.182, 0.364], [0.362, 0.362, 0.724], [0.638, 0.638, 0.276]], "spacegroup": "No. 139", "vol_a3_per_cell": 327, "total_energy_ev_per_atom": -1.317, "formation_energy_ev_per_atom": -0.143}